No. 1
# PBE CePa6Se8, relaxed
# Final energy ... -108.1 eV for the cell shown
# M_tot ... 4.44 μB per formula unit
data_CePa6Se8
_chemical_formula_sum 'Ce1 Pa6 Se8'
_cell_length_a 7.631
_cell_length_b 7.631
_cell_length_c 7.631
_cell_angle_alpha 68.86
_cell_angle_beta 68.86
_cell_angle_gamma 68.86
_symmetry_space_group_name_H-M 'P 1'
_symmetry_Int_Tables_number 1
_symmetry_space_group_name_Hall 'P 1'
loop_
_atom_site_label
_atom_site_type_symbol
_atom_site_fract_x
_atom_site_fract_y
_atom_site_fract_z
_atom_site_occupancy
Ce1 Ce 0.000 0.000 0.000 1
Pa1 Pa 0.559 0.295 0.932 1
Pa2 Pa 0.295 0.932 0.559 1
Pa3 Pa 0.932 0.559 0.295 1
Pa4 Pa 0.441 0.705 0.068 1
Pa5 Pa 0.705 0.068 0.441 1
Pa6 Pa 0.068 0.441 0.705 1
Se1 Se 0.667 0.667 0.667 1
Se2 Se 0.333 0.333 0.333 1
Se3 Se 0.617 0.900 0.197 1
Se4 Se 0.900 0.197 0.617 1
Se5 Se 0.197 0.617 0.900 1
Se6 Se 0.383 0.100 0.803 1
Se7 Se 0.100 0.803 0.383 1
Se8 Se 0.803 0.383 0.100 1


No. 2
# PBE Na5Cd2In4, relaxed
# Final energy ... -19.8 eV for the cell shown
# M_tot ... 0.00 μB per formula unit
# Energy of formation from the pure elements ... -0.78 kcal/mol of atoms
data_Na5Cd2In4
_chemical_formula_sum 'Na5 Cd2 In4'
_cell_length_a 6.343
_cell_length_b 8.872
_cell_length_c 6.815
_cell_angle_alpha 71.37
_cell_angle_beta 62.27
_cell_angle_gamma 69.05
_symmetry_space_group_name_H-M 'P 1'
_symmetry_Int_Tables_number 1
_symmetry_space_group_name_Hall 'P 1'
loop_
_atom_site_label
_atom_site_type_symbol
_atom_site_fract_x
_atom_site_fract_y
_atom_site_fract_z
_atom_site_occupancy
Na1 Na 0.258 0.180 0.811 1
Na2 Na 0.742 0.820 0.189 1
Na3 Na 0.000 0.500 0.500 1
Na4 Na 0.751 0.180 0.811 1
Na5 Na 0.249 0.820 0.189 1
Cd1 Cd 0.238 0.847 0.677 1
Cd2 Cd 0.762 0.153 0.323 1
In1 In 0.263 0.161 0.312 1
In2 In 0.737 0.839 0.688 1
In3 In 0.729 0.492 0.049 1
In4 In 0.271 0.508 0.951 1


Copy entry 2 word for word.
# PBE Na5Cd2In4, relaxed
# Final energy ... -19.8 eV for the cell shown
# M_tot ... 0.00 μB per formula unit
# Energy of formation from the pure elements ... -0.78 kcal/mol of atoms
data_Na5Cd2In4
_chemical_formula_sum 'Na5 Cd2 In4'
_cell_length_a 6.343
_cell_length_b 8.872
_cell_length_c 6.815
_cell_angle_alpha 71.37
_cell_angle_beta 62.27
_cell_angle_gamma 69.05
_symmetry_space_group_name_H-M 'P 1'
_symmetry_Int_Tables_number 1
_symmetry_space_group_name_Hall 'P 1'
loop_
_atom_site_label
_atom_site_type_symbol
_atom_site_fract_x
_atom_site_fract_y
_atom_site_fract_z
_atom_site_occupancy
Na1 Na 0.258 0.180 0.811 1
Na2 Na 0.742 0.820 0.189 1
Na3 Na 0.000 0.500 0.500 1
Na4 Na 0.751 0.180 0.811 1
Na5 Na 0.249 0.820 0.189 1
Cd1 Cd 0.238 0.847 0.677 1
Cd2 Cd 0.762 0.153 0.323 1
In1 In 0.263 0.161 0.312 1
In2 In 0.737 0.839 0.688 1
In3 In 0.729 0.492 0.049 1
In4 In 0.271 0.508 0.951 1


Repeat the first record exactly.
# PBE CePa6Se8, relaxed
# Final energy ... -108.1 eV for the cell shown
# M_tot ... 4.44 μB per formula unit
data_CePa6Se8
_chemical_formula_sum 'Ce1 Pa6 Se8'
_cell_length_a 7.631
_cell_length_b 7.631
_cell_length_c 7.631
_cell_angle_alpha 68.86
_cell_angle_beta 68.86
_cell_angle_gamma 68.86
_symmetry_space_group_name_H-M 'P 1'
_symmetry_Int_Tables_number 1
_symmetry_space_group_name_Hall 'P 1'
loop_
_atom_site_label
_atom_site_type_symbol
_atom_site_fract_x
_atom_site_fract_y
_atom_site_fract_z
_atom_site_occupancy
Ce1 Ce 0.000 0.000 0.000 1
Pa1 Pa 0.559 0.295 0.932 1
Pa2 Pa 0.295 0.932 0.559 1
Pa3 Pa 0.932 0.559 0.295 1
Pa4 Pa 0.441 0.705 0.068 1
Pa5 Pa 0.705 0.068 0.441 1
Pa6 Pa 0.068 0.441 0.705 1
Se1 Se 0.667 0.667 0.667 1
Se2 Se 0.333 0.333 0.333 1
Se3 Se 0.617 0.900 0.197 1
Se4 Se 0.900 0.197 0.617 1
Se5 Se 0.197 0.617 0.900 1
Se6 Se 0.383 0.100 0.803 1
Se7 Se 0.100 0.803 0.383 1
Se8 Se 0.803 0.383 0.100 1